1.
## SrTl3Ir (PBE)

Data for crystalline SrTl3Ir at its relaxed geometry.

Lattice parameters (Å, degrees): 5.338 5.338 5.338 90.00 90.00 90.00
Space group Pm-3m (No. 221)
Asymmetric unit:
Sr: 0.000 0.000 0.000 [1 per cell]
Tl: 0.000 0.500 0.500 [3 per cell]
Ir: 0.500 0.500 0.500 [1 per cell]

Output
theoretical density = 9.750 g/cm³
total moment = 0.00 μB per formula unit
V = 152.1 Å³/cell
E above lowest polymorph = 0 meV/atom
energy relative to the elements = 0.029 eV/atom

2.
## Pm3Y8Ho2 (PBE)

Data for crystalline Pm3Y8Ho2 at its relaxed geometry.

Lattice parameters (Å, degrees): 20.110 7.725 5.688 90.00 90.07 90.00
Space group C2/m (No. 12)
Asymmetric unit:
Pm: 0.000 0.000 0.000 [2 per cell]
Pm: 0.000 0.291 0.500 [4 per cell]
Y: 0.108 0.291 0.000 [8 per cell]
Y: 0.135 0.000 0.499 [4 per cell]
Y: 0.173 0.500 0.501 [4 per cell]
Ho: 0.241 0.000 0.998 [4 per cell]

Output
theoretical density = 5.548 g/cm³
total moment = 0.00 μB per formula unit
V = 883.6 Å³/cell
E above lowest polymorph = 227 meV/atom
energy relative to the elements = 0.246 eV/atom

3.
## Si2SbMo (PBE)

Data for crystalline Si2SbMo at its relaxed geometry.

Lattice parameters (Å, degrees): 3.245 3.245 6.617 90.00 90.00 90.00
Space group P4/mmm (No. 123)
Asymmetric unit:
Si: 0.000 0.000 0.188 [2 per cell]
Sb: 0.500 0.500 0.500 [1 per cell]
Mo: 0.500 0.500 0.000 [1 per cell]

Output
theoretical density = 6.525 g/cm³
total moment = 0.00 μB per formula unit
V = 69.7 Å³/cell
ΔE_f (raw) = 0.109 eV per atom

4.
## BaCu2C2 (PBE)

Data for crystalline BaCu2C2 at its relaxed geometry.

Lattice parameters (Å, degrees): 3.909 3.909 10.244 90.00 90.00 90.00
Space group I4/mmm (No. 139)
Asymmetric unit:
Ba: 0.000 0.000 0.000 [2 per cell]
Cu: 0.000 0.000 0.303 [4 per cell]
C: 0.000 0.500 0.250 [4 per cell]

Output
theoretical density = 6.119 g/cm³
total moment = 0.00 μB per formula unit
V = 156.6 Å³/cell
E above lowest polymorph = 0 meV/atom
energy relative to the elements = 0.883 eV/atom

5.
## Ta2AsBr (PBE)

Data for crystalline Ta2AsBr at its relaxed geometry.

Lattice parameters (Å, degrees): 3.187 4.595 10.098 90.00 90.00 90.00
Space group Imm2 (No. 44)
Asymmetric unit:
Ta: 0.000 0.000 0.000 [2 per cell]
Ta: 0.000 0.500 0.213 [2 per cell]
As: 0.000 0.000 0.503 [2 per cell]
Br: 0.000 0.500 0.719 [2 per cell]

Output
theoretical density = 11.607 g/cm³
total moment = 0.00 μB per formula unit
V = 147.9 Å³/cell
ΔE_f (raw) = 0.287 eV per atom
E above lowest polymorph = 430 meV/atom

6.
## CsRb2GaPd (PBE)

Data for crystalline CsRb2GaPd at its relaxed geometry.

Lattice parameters (Å, degrees): 6.765 6.765 5.024 90.00 90.00 90.00
Space group P4/mmm (No. 123)
Asymmetric unit:
Cs: 0.000 0.000 0.000 [1 per cell]
Rb: 0.000 0.500 0.500 [2 per cell]
Ga: 0.500 0.500 0.000 [1 per cell]
Pd: 0.500 0.500 0.500 [1 per cell]

Output
theoretical density = 3.466 g/cm³
total moment = 0.11 μB per formula unit
V = 230.0 Å³/cell
energy relative to the elements = 0.017 eV/atom

7.
## K4TbU3O12 (PBE)

Data for crystalline K4TbU3O12 at its relaxed geometry.

Lattice parameters (Å, degrees): 8.655 8.655 8.655 90.00 90.00 90.00
Space group Im-3m (No. 229)
Asymmetric unit:
K: 0.250 0.250 0.250 [8 per cell]
Tb: 0.000 0.000 0.000 [2 per cell]
U: 0.000 0.000 0.500 [6 per cell]
O: 0.000 0.000 0.265 [12 per cell]
O: 0.000 0.250 0.500 [12 per cell]

Output
theoretical density = 6.258 g/cm³
total moment = 1.00 μB per formula unit
V = 648.2 Å³/cell
ΔE_f (raw) = -2.921 eV per atom

8.
## LaNiSe (PBE)

Data for crystalline LaNiSe at its relaxed geometry.

Lattice parameters (Å, degrees): 4.411 5.927 10.128 90.00 90.00 90.00
Space group Fmm2 (No. 42)
Asymmetric unit:
La: 0.000 0.000 0.000 [4 per cell]
Ni: 0.000 0.000 0.313 [4 per cell]
Se: 0.000 0.000 0.703 [4 per cell]

Output
theoretical density = 6.938 g/cm³
total moment = 0.00 μB per formula unit
V = 264.8 Å³/cell
ΔE_f (raw) = -0.618 eV per atom
E above lowest polymorph = 501 meV/atom

9.
## CsAl2H6 (PBE)

Data for crystalline CsAl2H6 at its relaxed geometry.

Lattice parameters (Å, degrees): 12.033 9.542 5.087 90.00 114.47 90.00
Space group C2/c (No. 15)
Asymmetric unit:
Cs: 0.000 0.247 0.250 [4 per cell]
Al: 0.249 0.498 0.787 [8 per cell]
H: 0.144 0.430 0.936 [8 per cell]
H: 0.146 0.069 0.859 [8 per cell]
H: 0.249 0.367 0.536 [8 per cell]

Output
theoretical density = 2.410 g/cm³
total moment = 0.00 μB per formula unit
V = 531.7 Å³/cell
E above lowest polymorph = 0 meV/atom

10.
## TeAs2I8 (PBE)

Data for crystalline TeAs2I8 at its relaxed geometry.

Lattice parameters (Å, degrees): 8.467 8.849 9.161 112.98 91.02 117.51
Space group P-1 (No. 2)
Asymmetric unit:
Te: 0.000 0.000 0.000 [1 per cell]
As: 0.306 0.942 0.934 [2 per cell]
I: 0.103 0.950 0.278 [2 per cell]
I: 0.150 0.579 0.821 [2 per cell]
I: 0.318 0.385 0.147 [2 per cell]
I: 0.351 0.996 0.678 [2 per cell]

Output
theoretical density = 3.948 g/cm³
total moment = 0.00 μB per formula unit
V = 543.7 Å³/cell
ΔE_f (raw) = -0.061 eV per atom

11.
## KZnN2F (PBE)

Data for crystalline KZnN2F at its relaxed geometry.

Lattice parameters (Å, degrees): 5.727 5.727 4.768 90.00 90.00 90.00
Space group P4/mmm (No. 123)
Asymmetric unit:
K: 0.000 0.000 0.000 [1 per cell]
Zn: 0.500 0.500 0.500 [1 per cell]
N: 0.000 0.500 0.000 [2 per cell]
F: 0.000 0.000 0.500 [1 per cell]

Output
theoretical density = 1.609 g/cm³
total moment = 6.03 μB per formula unit
V = 156.4 Å³/cell
ΔE_f (raw) = 1.354 eV per atom
E above lowest polymorph = 1098 meV/atom

12.
## B5C7 (PBE)

Data for crystalline B5C7 at its relaxed geometry.

Lattice parameters (Å, degrees): 4.411 4.623 4.652 61.03 78.35 72.17
Space group P1 (No. 1)
Asymmetric unit:
B: 0.000 0.000 0.000 [1 per cell]
B: 0.007 0.387 0.201 [1 per cell]
B: 0.135 0.358 0.651 [1 per cell]
B: 0.558 0.876 0.271 [1 per cell]
B: 0.644 0.249 0.862 [1 per cell]
C: 0.022 0.746 0.600 [1 per cell]
C: 0.157 0.679 0.923 [1 per cell]
C: 0.165 0.998 0.281 [1 per cell]
C: 0.507 0.236 0.568 [1 per cell]
C: 0.517 0.591 0.911 [1 per cell]
C: 0.634 0.510 0.254 [1 per cell]
C: 0.653 0.863 0.603 [1 per cell]

Output
theoretical density = 2.909 g/cm³
total moment = 0.00 μB per formula unit
V = 78.9 Å³/cell
E above lowest polymorph = 120 meV/atom
energy relative to the elements = 0.378 eV/atom

Please write out number 9 again, unchanged.
## CsAl2H6 (PBE)

Data for crystalline CsAl2H6 at its relaxed geometry.

Lattice parameters (Å, degrees): 12.033 9.542 5.087 90.00 114.47 90.00
Space group C2/c (No. 15)
Asymmetric unit:
Cs: 0.000 0.247 0.250 [4 per cell]
Al: 0.249 0.498 0.787 [8 per cell]
H: 0.144 0.430 0.936 [8 per cell]
H: 0.146 0.069 0.859 [8 per cell]
H: 0.249 0.367 0.536 [8 per cell]

Output
theoretical density = 2.410 g/cm³
total moment = 0.00 μB per formula unit
V = 531.7 Å³/cell
E above lowest polymorph = 0 meV/atom

- Among the records above, which one has the highest V?
  Pm3Y8Ho2